Nd2Ni3P4Ir, optimized geometry, DFT PBE; DFT formation energy = -0.962 eV per atom; SG = No. 115; D(E_F) = 3.3 states/eV/f.u.; M_tot = 0.00 μB per formula unit; final energy = -6.700 eV per atom
1.0
4.073 0.000 0.000
0.000 4.073 0.000
0.000 0.000 9.366
Nd Ni P Ir
2 3 4 1
Direct
0.500 0.000 0.241
0.000 0.500 0.759
0.000 0.000 0.500
0.500 0.000 0.887
0.000 0.500 0.113
0.500 0.500 0.000
0.000 0.000 0.000
0.500 0.000 0.636
0.000 0.500 0.364
0.500 0.500 0.500